First-principles (PBE) data for a geometry-optimized Li2ZrNi structure, as listed in the Alexandria database.

Unit cell a=8.987 b=8.987 c=8.987 alpha=20.16 beta=20.16 gamma=20.16
Positions (direct):
Li1 0.237 0.237 0.237
Li2 0.999 0.999 0.999
Ni1 0.500 0.500 0.500
Zr1 0.765 0.765 0.765

Properties
- Magnetic moment: 0.0 μB/f.u.
- DOS at the Fermi energy: 0.987 states/eV/atom
- ΔE_f: 0.10 eV per atom